[1]
Below is an optimized crystal structure of NaAlAsO4F, with properties calculated at the PBE level.

a b c (Å): 5.4552 5.4552 7.1392
angles (deg): 74.52 74.52 104.34
Closest atoms and distances in Å follow each position.
Positions (direct):
1 O 0.3626 0.2368 0.9142  1 As 1.71, 1 Al 1.90
2 O 0.7632 0.6374 0.5858  1 As 1.71, 1 Al 1.90
3 O 0.3036 0.8993 0.3901  1 As 1.72, 1 Al 1.91
4 O 0.6964 0.1007 0.6099  1 As 1.72, 1 Al 1.91
5 O 0.1007 0.6964 0.1099  1 As 1.72, 1 Al 1.91
6 O 0.6374 0.7632 0.0858  1 As 1.71, 1 Al 1.90
7 O 0.2368 0.3626 0.4142  1 As 1.71, 1 Al 1.90
8 O 0.8993 0.3036 0.8901  1 As 1.72, 1 Al 1.91
9 As 0.3135 0.6865 0.2500  4 O 1.71-1.72
10 As 0.6865 0.3135 0.7500  4 O 1.71-1.72
11 Na 0.6714 0.3286 0.2500  1 F 2.27, 4 O 2.42
12 Na 0.3286 0.6714 0.7500  1 F 2.27, 4 O 2.42
13 Al 0.0000 0.0000 0.0000  2 F 1.87, 4 O 1.90-1.91
14 Al 0.0000 0.0000 0.5000  2 F 1.87, 4 O 1.90-1.91
15 F 0.9349 0.0651 0.2500  2 Al 1.87
16 F 0.0651 0.9349 0.7500  2 Al 1.87

Results
M_tot	0.00	μB/f.u.
E	-6.14	eV per atom
volume	185.3	Å³/cell
space group	No. 15
raw formation energy	-2209	meV per atom

[2]
Below is an optimized crystal structure of AlAsO2F, with properties calculated at the PBE level.

a b c (Å): 4.4982 3.2081 4.4982
angles (deg): 90.00 90.00 90.00
Closest atoms and distances in Å follow each position.
Positions (direct):
1 O 0.0000 0.0000 0.5000  2 F 2.25
2 O 0.5000 0.0000 0.0000  2 F 2.25
3 F 0.0000 0.0000 0.0000  2 Al 1.60
4 Al 0.0000 0.5000 0.0000  2 F 1.60
5 As 0.5000 0.5000 0.5000  8 O 2.76

Results
M_tot	0.00	μB/f.u.
E	-4.16	eV per atom
volume	64.9	Å³/cell
space group	No. 123
raw formation energy	-120	meV per atom

[3]
Below is an optimized crystal structure of AlAsO2F, with properties calculated at the PBE level.

a b c (Å): 3.8022 3.8022 3.6582
angles (deg): 90.00 90.00 90.00
Closest atoms and distances in Å follow each position.
Positions (direct):
1 O 0.0000 0.5000 0.0000  2 Al 1.90
2 O 0.5000 0.0000 0.0000  2 Al 1.90
3 Al 0.0000 0.0000 0.0000  2 F 1.83, 4 O 1.90
4 As 0.5000 0.5000 0.5000  8 O 2.64, 4 F 2.69
5 F 0.0000 0.0000 0.5000  2 Al 1.83

Results
M_tot	0.00	μB/f.u.
E	-5.68	eV per atom
volume	52.9	Å³/cell
space group	No. 123
raw formation energy	-1647	meV per atom

| no. | theoretical density (Mg/m³) |
| --- | --- |
| 1 | 3.73 |
| 2 | 3.91 |
| 3 | 4.80 |